VASP calculation (PBE-GGA) on a geometry-optimized Ag2PtN structure.

Cell and atoms, written as extended XYZ:
```
8
Lattice="-4.370 4.370 1.893 4.370 -4.370 1.893 4.370 4.370 -1.893" Properties=species:S:1:pos:R:3 pbc="T T T"
Ag 2.185 1.106 -0.473
Ag 3.264 -2.185 2.366
Ag 2.185 3.264 1.420
Ag 1.106 6.555 0.473
Pt 4.370 0.000 0.947
Pt 0.000 0.000 1.893
N 0.000 0.000 0.000
N 0.000 4.370 0.947
```

Fermi-level density of states = 2.9 states/eV/cell
Size of the total moment = 0.0 Bohr magnetons per cell
Formation energy from raw total energies = 614 meV per atom


VASP calculation (PBE-GGA) on a geometry-optimized AuCCl3 structure.

Cell and atoms, written as extended XYZ:
```
5
Lattice="4.492 0.000 0.000 0.000 4.492 0.000 0.000 0.000 4.492" Properties=species:S:1:pos:R:3 pbc="T T T"
Au 0.000 0.000 0.000
C 2.246 2.246 2.246
Cl 0.000 2.246 2.246
Cl 2.246 0.000 2.246
Cl 2.246 2.246 0.000
```

Fermi-level density of states = 0.1 states/eV/cell
Excess energy over the best structure of this formula in the dataset = 0 kJ/mol of formula units
Size of the total moment = 0.0 Bohr magnetons per cell
Formation energy from raw total energies = 1089 meV per atom